# SrHg3Au2 (PBE, optimized geometry)
data_SrHg3Au2
_chemical_formula_sum 'Sr2 Hg6 Au4'
_space_group_name_H-M_alt 'P 1'
_space_group_IT_number 1
_cell_length_a 4.436
_cell_length_b 9.275
_cell_length_c 9.176
_cell_angle_alpha 120.67
_cell_angle_beta 90.00
_cell_angle_gamma 103.83
loop_
_space_group_symop_operation_xyz
'x,y,z'
loop_
_atom_site_label
_atom_site_fract_x
_atom_site_fract_y
_atom_site_fract_z
Sr1 0.864 0.727 0.873
Sr2 0.136 0.273 0.127
Hg1 0.326 0.651 0.536
Hg2 0.985 0.969 0.636
Hg3 0.665 0.331 0.863
Hg4 0.335 0.669 0.137
Hg5 0.015 0.031 0.364
Hg6 0.674 0.349 0.464
Au1 0.499 0.998 0.850
Au2 0.501 0.002 0.150
Au3 0.793 0.586 0.293
Au4 0.207 0.414 0.707
# **Calculated formation energy**: -353 meV/atom
# **Spin magnetization**: 0.0 μB per cell
# **Crystal system**: monoclinic